{
  "formula": "CeZn9Ag2",
  "functional": "PBE",
  "state": "optimized geometry",
  "formation_energy_ev_per_fu": -0.77,
  "dos_at_fermi_per_ev_atom": 0.530,
  "space_group": "P6/mmm (191)",
  "vol_a3_per_cell": 205.8,
  "dft_energy_ev_per_atom": -1.9896,
  "crystal_system": "hexagonal",
  "lattice": [[3.0341, 0.0000, 0.0000], [0.0000, 8.8505, 0.0000], [0.0000, -4.4253, 7.6648]],
  "species": ["Zn", "Zn", "Zn", "Zn", "Zn", "Zn", "Zn", "Zn", "Zn", "Ag", "Ag", "Ce"],
  "fractional_positions": [[0.0000, 0.0000, 0.5000], [0.5000, 0.1811, 0.3622], [0.5000, 0.3622, 0.1811], [0.5000, 0.1811, 0.8189], [0.0000, 0.5000, 0.5000], [0.5000, 0.6378, 0.8189], [0.5000, 0.8189, 0.1811], [0.0000, 0.5000, 0.0000], [0.5000, 0.8189, 0.6378], [0.0000, 0.6667, 0.3333], [0.0000, 0.3333, 0.6667], [0.0000, 0.0000, 0.0000]]
}

***

{
  "formula": "AcBi2PdO8",
  "functional": "PBE",
  "state": "optimized geometry",
  "dos_at_fermi_per_ev_atom": 0.232,
  "space_group": "P2/m (10)",
  "vol_a3_per_cell": 183.8,
  "dft_energy_ev_per_atom": -5.9140,
  "crystal_system": "monoclinic",
  "lattice": [[-3.5567, 3.3132, -1.6524], [-0.9110, -2.7710, -4.2323], [-4.9166, -3.5808, 3.4026]],
  "species": ["O", "O", "O", "O", "O", "O", "O", "O", "Pd", "Bi", "Bi", "Ac"],
  "fractional_positions": [[0.8079, 0.1960, 0.7837], [0.2891, 0.2864, 0.0000], [0.7109, 0.7136, 0.0000], [0.1921, 0.8040, 0.2163], [0.1922, 0.8040, 0.7837], [0.6682, 0.6741, 0.5000], [0.3318, 0.3259, 0.5000], [0.8078, 0.1960, 0.2163], [0.0000, 0.0000, 0.0000], [0.5000, 0.5000, 0.7639], [0.5000, 0.5000, 0.2361], [0.0000, 0.0000, 0.5000]]
}

***

{
  "formula": "ErThSb",
  "functional": "PBE",
  "state": "optimized geometry",
  "dos_at_fermi_per_ev_atom": 1.217,
  "space_group": "C2/m (12)",
  "vol_a3_per_cell": 180.5,
  "dft_energy_ev_per_atom": -5.9653,
  "crystal_system": "monoclinic",
  "lattice": [[-1.4686, 1.5213, 3.4968], [-4.6515, -3.7506, 2.0659], [3.0503, -4.5277, 5.6385]],
  "species": ["Th", "Th", "Er", "Er", "Sb", "Sb"],
  "fractional_positions": [[0.0769, 0.1888, 0.6575], [0.9231, 0.8112, 0.3425], [0.3473, 0.2543, 0.0511], [0.6527, 0.7457, 0.9489], [0.3449, 0.6261, 0.6841], [0.6551, 0.3739, 0.3159]]
}

***

{
  "formula": "ScV3Mo",
  "functional": "PBE",
  "state": "optimized geometry",
  "formation_energy_ev_per_fu": 8.50,
  "dos_at_fermi_per_ev_atom": 1.634,
  "space_group": "Pm-3m (221)",
  "vol_a3_per_cell": 81.8,
  "dft_energy_ev_per_atom": -7.2031,
  "crystal_system": "cubic",
  "lattice": [[-4.0507, 0.8724, 1.2942], [-1.5579, -2.0406, -3.5005], [-0.0951, -3.7309, 2.2172]],
  "species": ["Mo", "V", "V", "V", "Sc"],
  "fractional_positions": [[0.5000, 0.5000, 0.5000], [0.0000, 0.0000, 0.5000], [0.0000, 0.5000, 0.0000], [0.5000, 0.0000, 0.0000], [0.0000, 0.0000, 0.0000]]
}

***

{
  "formula": "Tb12DyEr2",
  "functional": "PBE",
  "state": "optimized geometry",
  "formation_energy_ev_per_fu": 1.75,
  "dos_at_fermi_per_ev_atom": 1.597,
  "space_group": "P2/m (10)",
  "vol_a3_per_cell": 958.4,
  "dft_energy_ev_per_atom": -4.5026,
  "crystal_system": "monoclinic",
  "lattice": [[-4.3659, -0.8809, -4.8860], [-6.1241, -1.5319, 1.9644], [-6.9545, 23.0295, 5.9512]],
  "species": ["Er", "Er", "Er", "Er", "Tb", "Tb", "Tb", "Tb", "Tb", "Tb", "Tb", "Tb", "Tb", "Tb", "Tb", "Tb", "Tb", "Tb", "Tb", "Tb", "Tb", "Tb", "Tb", "Tb", "Tb", "Tb", "Tb", "Tb", "Dy", "Dy"],
  "fractional_positions": [[0.9537, 0.5463, 0.2714], [0.5463, 0.9537, 0.7286], [0.0463, 0.4537, 0.7286], [0.4537, 0.0463, 0.2714], [0.4963, 0.5037, 0.3289], [0.5037, 0.4963, 0.6711], [0.8967, 0.6033, 0.8625], [0.1831, 0.3169, 0.5758], [0.4446, 0.5554, 0.9267], [0.3967, 0.1033, 0.8625], [0.0554, 0.9446, 0.0733], [0.1033, 0.3967, 0.1375], [0.0037, 0.9963, 0.6711], [0.9017, 0.0983, 0.2012], [0.3320, 0.6680, 0.4443], [0.3169, 0.1831, 0.4242], [0.5983, 0.4017, 0.7988], [0.9963, 0.0037, 0.3289], [0.0983, 0.9017, 0.7988], [0.9446, 0.0554, 0.9267], [0.8169, 0.6831, 0.4242], [0.4017, 0.5983, 0.2012], [0.6831, 0.8169, 0.5758], [0.6680, 0.3320, 0.5557], [0.6033, 0.8967, 0.1375], [0.8320, 0.1680, 0.4443], [0.1680, 0.8320, 0.5557], [0.5554, 0.4446, 0.0733], [0.0000, 0.5000, 0.0000], [0.5000, 0.0000, 0.0000]]
}

***

{
  "formula": "NaSmPu4N8",
  "functional": "PBE",
  "state": "optimized geometry",
  "dos_at_fermi_per_ev_atom": 1.827,
  "space_group": "R3m (160)",
  "vol_a3_per_cell": 218.1,
  "dft_energy_ev_per_atom": -10.1672,
  "crystal_system": "trigonal",
  "lattice": [[-6.8107, -0.9839, -0.0568], [-2.7893, -4.5041, -4.3921], [-2.6728, -5.6880, 2.1393]],
  "species": ["N", "N", "N", "N", "N", "N", "N", "N", "Pu", "Pu", "Pu", "Pu", "Sm", "Na"],
  "fractional_positions": [[0.2114, 0.7455, 0.2976], [0.7455, 0.2114, 0.2976], [0.2527, 0.8025, 0.6921], [0.2349, 0.2349, 0.2952], [0.7597, 0.7597, 0.7209], [0.7455, 0.7455, 0.2976], [0.2527, 0.2527, 0.6921], [0.8025, 0.2527, 0.6921], [0.6125, 0.6125, 0.1624], [0.0000, 0.4990, 0.5010], [0.4990, 0.0000, 0.5010], [0.0000, 0.0000, 0.5010], [0.3836, 0.3836, 0.8492], [0.9999, 0.9999, 0.0003]]
}

***

{
  "formula": "SbOF2",
  "functional": "PBE",
  "state": "optimized geometry",
  "dos_at_fermi_per_ev_atom": 0.083,
  "space_group": "I-42d (122)",
  "vol_a3_per_cell": 102.0,
  "dft_energy_ev_per_atom": -4.3063,
  "crystal_system": "tetragonal",
  "lattice": [[-1.3549, -2.8405, -1.8029], [2.0796, -2.2349, 1.9583], [-5.2908, -3.1836, 5.3439]],
  "species": ["Sb", "Sb", "F", "F", "F", "F", "O", "O"],
  "fractional_positions": [[0.0000, 0.0000, 0.0000], [0.7500, 0.2500, 0.5000], [0.3750, 0.3467, 0.7500], [0.6533, 0.1250, 0.2500], [0.8750, 0.9033, 0.7500], [0.0967, 0.6250, 0.2500], [0.2500, 0.7500, 0.5000], [0.5000, 0.5000, 0.0000]]
}

***

{
  "formula": "Eu2TlAs",
  "functional": "PBE",
  "state": "optimized geometry",
  "formation_energy_ev_per_fu": -3.06,
  "dos_at_fermi_per_ev_atom": 2.349,
  "space_group": "P4/mmm (123)",
  "vol_a3_per_cell": 112.8,
  "dft_energy_ev_per_atom": -7.6567,
  "crystal_system": "tetragonal",
  "lattice": [[3.9047, 0.0000, 0.0000], [0.0000, 3.9047, 0.0000], [0.0000, 0.0000, 7.3997]],
  "species": ["Eu", "Eu", "As", "Tl"],
  "fractional_positions": [[0.0000, 0.0000, 0.7844], [0.0000, 0.0000, 0.2156], [0.5000, 0.5000, 0.0000], [0.5000, 0.5000, 0.5000]]
}

***

{
  "formula": "CsRb2I5",
  "functional": "PBE",
  "state": "optimized geometry",
  "dos_at_fermi_per_ev_atom": 0.000,
  "space_group": "Cmcm (63)",
  "vol_a3_per_cell": 889.2,
  "dft_energy_ev_per_atom": -2.4459,
  "crystal_system": "orthorhombic",
  "lattice": [[-5.6524, 3.7135, 2.2795], [2.3371, -4.9462, 2.6804], [15.2021, 14.6648, 13.8059]],
  "species": ["I", "I", "I", "I", "I", "I", "I", "I", "I", "I", "Rb", "Rb", "Rb", "Rb", "Cs", "Cs"],
  "fractional_positions": [[0.1413, 0.2826, 0.1243], [0.1413, 0.2826, 0.3757], [0.7567, 0.5134, 0.2500], [0.2433, 0.4866, 0.7500], [0.6113, 0.2226, 0.9618], [0.3887, 0.7774, 0.0382], [0.8587, 0.7174, 0.8757], [0.3887, 0.7774, 0.4618], [0.8587, 0.7174, 0.6243], [0.6113, 0.2226, 0.5382], [0.2325, 0.4649, 0.8975], [0.7675, 0.5351, 0.3975], [0.2325, 0.4649, 0.6025], [0.7675, 0.5351, 0.1025], [0.3724, 0.7447, 0.2500], [0.6276, 0.2553, 0.7500]]
}

***

{
  "formula": "RbTmPbCl6",
  "functional": "PBE",
  "state": "optimized geometry",
  "dos_at_fermi_per_ev_atom": 0.000,
  "space_group": "P312 (149)",
  "vol_a3_per_cell": 327.4,
  "dft_energy_ev_per_atom": -4.1278,
  "crystal_system": "trigonal",
  "lattice": [[-6.1344, -0.0261, 3.9556], [-0.9179, -4.9573, 5.2783], [2.9940, 4.4204, 4.6725]],
  "species": ["Pb", "Cl", "Cl", "Cl", "Cl", "Cl", "Cl", "Tm", "Rb"],
  "fractional_positions": [[0.6666, 0.6667, 0.5000], [0.6154, 0.3545, 0.7139], [0.0301, 0.3545, 0.2861], [0.3544, 0.0302, 0.7139], [0.3545, 0.6154, 0.2861], [0.0301, 0.6154, 0.7139], [0.6154, 0.0301, 0.2861], [0.3333, 0.3333, 0.5000], [0.0000, 0.0000, 0.0000]]
}

***

{
  "formula": "Si2Te",
  "functional": "PBE",
  "state": "optimized geometry",
  "dos_at_fermi_per_ev_atom": 0.226,
  "space_group": "P4/nmm (129)",
  "vol_a3_per_cell": 141.3,
  "dft_energy_ev_per_atom": -4.4164,
  "crystal_system": "tetragonal",
  "lattice": [[4.5035, 0.0000, 0.0000], [0.0000, 4.5035, 0.0000], [0.0000, 0.0000, 6.9653]],
  "species": ["Si", "Si", "Si", "Si", "Te", "Te"],
  "fractional_positions": [[0.5000, 0.5000, 0.0000], [0.0000, 0.0000, 0.0000], [0.0000, 0.5000, 0.8608], [0.5000, 0.0000, 0.1392], [0.0000, 0.5000, 0.4893], [0.5000, 0.0000, 0.5107]]
}

***

{
  "formula": "LiNd4Hg3",
  "functional": "PBE",
  "state": "optimized geometry",
  "formation_energy_ev_per_fu": -2.82,
  "dos_at_fermi_per_ev_atom": 1.043,
  "space_group": "I4/mmm (139)",
  "vol_a3_per_cell": 223.7,
  "dft_energy_ev_per_atom": -3.0889,
  "crystal_system": "tetragonal",
  "lattice": [[5.2360, 0.0000, -1.4134], [-0.3758, 5.2281, -1.3922], [-0.5196, -0.5916, 8.4804]],
  "species": ["Nd", "Nd", "Nd", "Nd", "Hg", "Hg", "Hg", "Li"],
  "fractional_positions": [[0.8745, 0.8745, 0.7490], [0.6255, 0.6256, 0.2509], [0.3745, 0.3744, 0.7491], [0.1255, 0.1255, 0.2510], [0.2528, 0.7528, 0.5055], [0.0000, 0.5000, 0.0000], [0.7472, 0.2472, 0.4945], [0.5000, 0.0000, 0.0000]]
}

***

{
  "formula": "ScNiOs2",
  "functional": "PBE",
  "state": "optimized geometry",
  "formation_energy_ev_per_fu": -0.09,
  "dos_at_fermi_per_ev_atom": 0.856,
  "space_group": "Pmmm (47)",
  "vol_a3_per_cell": 59.0,
  "dft_energy_ev_per_atom": -8.6654,
  "crystal_system": "orthorhombic",
  "lattice": [[2.9769, 0.0000, 0.0000], [0.0000, 4.4349, 0.0000], [0.0000, 0.0000, 4.4704]],
  "species": ["Os", "Os", "Ni", "Sc"],
  "fractional_positions": [[0.0000, 0.0000, 0.0000], [0.5000, 0.5000, 0.0000], [0.0000, 0.5000, 0.5000], [0.5000, 0.0000, 0.5000]]
}

***

{
  "formula": "Dy2ScAu",
  "functional": "PBE",
  "state": "optimized geometry",
  "formation_energy_ev_per_fu": -1.51,
  "dos_at_fermi_per_ev_atom": 1.246,
  "space_group": "P4/mmm (123)",
  "vol_a3_per_cell": 102.3,
  "dft_energy_ev_per_atom": -5.0817,
  "crystal_system": "tetragonal",
  "lattice": [[-2.1358, 2.2089, -1.9679], [0.2528, -2.2821, -2.8358], [-6.2072, -3.7827, 2.4908]],
  "species": ["Sc", "Au", "Dy", "Dy"],
  "fractional_positions": [[0.5000, 0.5000, 0.5000], [0.5000, 0.5000, 0.0000], [0.0000, 0.0000, 0.7747], [0.0000, 0.0000, 0.2253]]
}

***

{
  "formula": "Tb5Y8Pu",
  "functional": "PBE",
  "state": "optimized geometry",
  "formation_energy_ev_per_fu": 4.05,
  "dos_at_fermi_per_ev_atom": 1.787,
  "space_group": "I-4 (82)",
  "vol_a3_per_cell": 458.9,
  "dft_energy_ev_per_atom": -6.0819,
  "crystal_system": "tetragonal",
  "lattice": [[7.8271, 0.0000, -3.1466], [-3.6899, 7.1124, -2.6387], [-0.4473, 0.0000, 8.4240]],
  "species": ["Y", "Y", "Y", "Y", "Y", "Y", "Y", "Y", "Tb", "Tb", "Tb", "Tb", "Tb", "Pu"],
  "fractional_positions": [[0.5404, 0.9072, 0.9414], [0.0342, 0.0928, 0.6332], [0.0586, 0.5990, 0.9658], [0.7749, 0.3108, 0.4101], [0.0993, 0.6892, 0.4641], [0.5899, 0.3647, 0.9007], [0.5359, 0.6353, 0.2251], [0.3668, 0.4010, 0.4596], [0.2873, 0.0877, 0.0567], [0.9690, 0.9123, 0.1996], [0.9433, 0.2306, 0.0310], [0.8004, 0.7694, 0.7127], [0.5000, 0.0000, 0.5000], [0.2500, 0.5000, 0.7500]]
}

***

{
  "formula": "Tm3NpCl2O6",
  "functional": "PBE",
  "state": "optimized geometry",
  "dos_at_fermi_per_ev_atom": 0.547,
  "space_group": "C2/m (12)",
  "vol_a3_per_cell": 208.9,
  "dft_energy_ev_per_atom": -7.9156,
  "crystal_system": "monoclinic",
  "lattice": [[5.3223, 0.0000, 0.8186], [0.0000, 6.6642, 0.0000], [0.3366, -3.3321, 5.9424]],
  "species": ["Cl", "Cl", "O", "O", "O", "O", "O", "O", "Tm", "Tm", "Tm", "Np"],
  "fractional_positions": [[0.1664, 0.6956, 0.3912], [0.8336, 0.3044, 0.6088], [0.2895, 0.1842, 0.8658], [0.3350, 0.1761, 0.3522], [0.7105, 0.8158, 0.1342], [0.2895, 0.6816, 0.8658], [0.6650, 0.8239, 0.6478], [0.7105, 0.3184, 0.1342], [0.5000, 0.0000, 0.5000], [0.0000, 0.5000, 0.0000], [0.5000, 0.5000, 0.5000], [0.5000, 0.0000, 0.0000]]
}

***

{
  "formula": "La4Pm7Pr",
  "functional": "PBE",
  "state": "optimized geometry",
  "formation_energy_ev_per_fu": 2.58,
  "dos_at_fermi_per_ev_atom": 1.696,
  "space_group": "C2/m (12)",
  "vol_a3_per_cell": 439.9,
  "dft_energy_ev_per_atom": -4.5969,
  "crystal_system": "monoclinic",
  "lattice": [[6.1489, 0.0000, 0.0000], [3.0744, 11.6365, -0.3435], [3.0744, 0.1375, 6.1438]],
  "species": ["La", "La", "La", "La", "Pm", "Pm", "Pm", "Pm", "Pm", "Pm", "Pm", "Pr"],
  "fractional_positions": [[0.2319, 0.3278, 0.2085], [0.3640, 0.7767, 0.4953], [0.6360, 0.2233, 0.5047], [0.7681, 0.6722, 0.7915], [0.0662, 0.6805, 0.1870], [0.7892, 0.9225, 0.4991], [0.3682, 0.4982, 0.7655], [0.5000, 0.0000, 0.0000], [0.2108, 0.0775, 0.5009], [0.9338, 0.3195, 0.8130], [0.6318, 0.5018, 0.2345], [0.0000, 0.0000, 0.0000]]
}

***

{
  "formula": "Ti3NiRu",
  "functional": "PBE",
  "state": "optimized geometry",
  "formation_energy_ev_per_fu": 3.24,
  "dos_at_fermi_per_ev_atom": 1.524,
  "space_group": "Pm-3m (221)",
  "vol_a3_per_cell": 100.1,
  "dft_energy_ev_per_atom": -7.0997,
  "crystal_system": "cubic",
  "lattice": [[4.6432, 0.0000, 0.0000], [0.0000, 4.6432, 0.0000], [0.0000, 0.0000, 4.6432]],
  "species": ["Ni", "Ti", "Ti", "Ti", "Ru"],
  "fractional_positions": [[0.5000, 0.5000, 0.5000], [0.0000, 0.0000, 0.5000], [0.5000, 0.0000, 0.0000], [0.0000, 0.5000, 0.0000], [0.0000, 0.0000, 0.0000]]
}

***

{
  "formula": "Nd4Si3Ge",
  "functional": "PBE",
  "state": "optimized geometry",
  "dos_at_fermi_per_ev_atom": 0.866,
  "space_group": "Pmm2 (25)",
  "vol_a3_per_cell": 195.8,
  "dft_energy_ev_per_atom": -5.7717,
  "crystal_system": "orthorhombic",
  "lattice": [[4.4752, 0.0000, 0.0000], [0.0000, 3.9765, 0.0000], [0.0000, 0.0000, 11.0002]],
  "species": ["Si", "Si", "Si", "Nd", "Nd", "Nd", "Nd", "Ge"],
  "fractional_positions": [[0.0000, 0.5000, 0.5718], [0.0000, 0.0000, 0.4279], [0.5000, 0.0000, 0.9235], [0.5000, 0.5000, 0.3620], [0.0000, 0.5000, 0.8588], [0.5000, 0.0000, 0.6397], [0.0000, 0.0000, 0.1406], [0.5000, 0.5000, 0.0757]]
}

***

{
  "formula": "Cs2In2Br7",
  "functional": "PBE",
  "state": "optimized geometry",
  "dos_at_fermi_per_ev_atom": 0.522,
  "space_group": "C2/m (12)",
  "vol_a3_per_cell": 580.8,
  "dft_energy_ev_per_atom": -2.8473,
  "crystal_system": "monoclinic",
  "lattice": [[-3.5542, -3.2182, -5.2618], [3.3041, -7.6384, 3.9159], [-7.2824, 1.7024, 5.3539]],
  "species": ["Br", "Br", "Br", "Br", "Br", "Br", "Br", "In", "In", "Cs", "Cs"],
  "fractional_positions": [[0.2363, 0.4044, 0.0998], [0.2363, 0.0998, 0.4044], [0.5000, 0.0000, 0.0000], [0.7637, 0.9002, 0.5956], [0.7415, 0.3812, 0.3812], [0.2585, 0.6188, 0.6188], [0.7637, 0.5956, 0.9002], [0.4302, 0.2236, 0.2236], [0.5698, 0.7764, 0.7764], [0.0000, 0.7128, 0.2872], [0.0000, 0.2872, 0.7128]]
}